1.
! YBrO, optimized geometry, DFT PBE; values from VASP
&SYSTEM
  ibrav = 0, nat = 6, ntyp = 3
/
ATOMIC_SPECIES
Y 88.91 Y.upf
Br 79.90 Br.upf
O 16.00 O.upf
ATOMIC_POSITIONS angstrom
Y 0.9661 0.9661 1.1397
Y 2.8982 2.8982 8.0306
Br 0.9661 0.9661 6.3481
Br 2.8982 2.8982 2.8223
O 0.9661 2.8982 0.0000
O 2.8982 0.9661 0.0000
CELL_PARAMETERS angstrom
3.8643 0.0000 0.0000
0.0000 3.8643 0.0000
0.0000 0.0000 9.1703
! ΔE_f (raw) = -2.89 eV/atom
! space-group type = P4/nmm
! crystal system = tetragonal
! DOS at the Fermi energy = 0.00 states/eV/cell
! total DFT energy (no corrections) = -7.26 eV per atom
! size of the total moment = 0.00 μB/f.u.
! V = 136.9 Å³ per cell

***

2.
! Tl2CuPtCl6, optimized geometry, DFT PBE; values from VASP
&SYSTEM
  ibrav = 0, nat = 20, ntyp = 4
/
ATOMIC_SPECIES
Tl 204.38 Tl.upf
Cu 63.55 Cu.upf
Pt 195.08 Pt.upf
Cl 35.45 Cl.upf
ATOMIC_POSITIONS angstrom
Tl 0.0000 0.0000 4.2344
Tl 0.0000 0.0000 10.7036
Tl 0.0000 0.0000 24.9609
Tl 0.0000 0.0000 31.4301
Cu 0.0000 0.0000 14.7235
Cu 0.0000 0.0000 20.9410
Pt 0.0000 0.0000 0.0000
Pt 0.0000 0.0000 17.8323
Cl -1.6806 -0.9703 16.3674
Cl 0.0000 -2.0137 13.3207
Cl -1.7439 1.0069 13.3207
Cl -1.7439 -1.0069 22.3438
Cl 0.0000 -1.9406 19.2972
Cl -1.6806 0.9703 19.2972
Cl 1.6806 -0.9703 16.3673
Cl 0.0000 1.9406 16.3673
Cl 1.7439 1.0069 13.3208
Cl 1.7439 -1.0069 22.3438
Cl 0.0000 2.0137 22.3438
Cl 1.6806 0.9703 19.2972
CELL_PARAMETERS angstrom
3.5040 2.0230 11.8882
-3.5040 2.0230 11.8882
0.0000 -4.0461 11.8882
! ΔE_f (raw) = -0.63 eV/atom
! space-group type = R-3m
! crystal system = trigonal
! DOS at the Fermi energy = 6.28 states/eV/cell
! total DFT energy (no corrections) = -3.23 eV per atom
! size of the total moment = 0.48 μB/f.u.
! V = 505.6 Å³ per cell

***

3.
! RbTiSbO6, optimized geometry, DFT PBE; values from VASP
&SYSTEM
  ibrav = 0, nat = 18, ntyp = 4
/
ATOMIC_SPECIES
Rb 85.47 Rb.upf
Ti 47.87 Ti.upf
Sb 121.76 Sb.upf
O 16.00 O.upf
ATOMIC_POSITIONS angstrom
Rb 0.0000 0.0000 0.0000
Rb 0.0000 0.0000 5.8916
Ti 0.0000 3.2041 2.9458
Ti 2.7748 1.6020 8.8374
Sb 0.0000 3.2041 8.8374
Sb 2.7748 1.6020 2.9458
O -1.1294 1.9940 1.8784
O -1.6127 2.8311 4.0132
O 1.1294 1.9940 4.0132
O -0.4833 4.7872 1.8784
O 2.2915 0.0189 7.7701
O 1.1622 1.9751 9.9048
O 1.6127 2.8311 1.8784
O 0.4833 4.7872 4.0132
O 3.2581 0.0189 9.9048
O 1.6454 2.8121 7.7701
O 4.3875 1.9751 7.7701
O 3.9042 2.8121 9.9048
CELL_PARAMETERS angstrom
5.5496 0.0000 0.0000
-2.7748 4.8061 0.0000
0.0000 0.0000 11.7833
! ΔE_f (raw) = -1.62 eV/atom
! space-group type = P-31c
! crystal system = trigonal
! DOS at the Fermi energy = 7.78 states/eV/cell
! total DFT energy (no corrections) = -6.37 eV per atom
! size of the total moment = 2.00 μB/f.u.
! V = 314.3 Å³ per cell

***

4.
! ZnCI2, optimized geometry, DFT PBE; values from VASP
&SYSTEM
  ibrav = 0, nat = 4, ntyp = 3
/
ATOMIC_SPECIES
Zn 65.41 Zn.upf
C 12.01 C.upf
I 126.90 I.upf
ATOMIC_POSITIONS angstrom
Zn 0.0000 0.0000 0.0000
C 3.6091 3.6091 3.6091
I 1.8045 1.8045 1.8045
I 5.4136 5.4136 5.4136
CELL_PARAMETERS angstrom
0.0000 3.6091 3.6091
3.6091 0.0000 3.6091
3.6091 3.6091 0.0000
! ΔE_f (raw) = 1.74 eV/atom
! space-group type = Fm-3m
! crystal system = cubic
! DOS at the Fermi energy = 3.71 states/eV/cell
! total DFT energy (no corrections) = -1.66 eV per atom
! size of the total moment = 1.40 μB/f.u.
! polymorph energy (0 for the lowest one) = 534.6 meV/atom
! V = 94.0 Å³ per cell

***

5.
! Li4CePu3Se8, optimized geometry, DFT PBE; values from VASP
&SYSTEM
  ibrav = 0, nat = 16, ntyp = 4
/
ATOMIC_SPECIES
Li 6.94 Li.upf
Ce 140.12 Ce.upf
Pu 244.00 Pu.upf
Se 78.96 Se.upf
ATOMIC_POSITIONS angstrom
Li 0.0000 0.0000 0.0000
Li -2.0757 -1.1984 6.4439
Li -2.0757 1.1984 12.8877
Li 0.0000 2.3969 6.4439
Ce 0.0000 0.0000 9.6658
Pu -4.1515 0.0000 9.6658
Pu -2.0757 1.1984 3.2219
Pu 2.0757 1.1984 3.2219
Se 0.0000 -2.4061 8.0141
Se -2.0837 1.2030 8.0141
Se 0.0000 0.0000 4.8447
Se -2.0837 -1.2030 11.3175
Se 2.0837 1.2030 8.0141
Se 0.0000 0.0000 14.4869
Se 2.0837 -1.2030 11.3175
Se 0.0000 2.4061 11.3175
CELL_PARAMETERS angstrom
4.1515 2.3969 6.4439
-4.1515 2.3969 6.4439
0.0000 -4.7937 6.4439
! ΔE_f (raw) = -1.46 eV/atom
! space-group type = R-3m
! crystal system = trigonal
! DOS at the Fermi energy = 36.03 states/eV/cell
! total DFT energy (no corrections) = -6.74 eV per atom
! size of the total moment = 16.00 μB/f.u.
! V = 384.7 Å³ per cell

***

6.
! Y6BiAs2Se3, optimized geometry, DFT PBE; values from VASP
&SYSTEM
  ibrav = 0, nat = 12, ntyp = 4
/
ATOMIC_SPECIES
Y 88.91 Y.upf
Bi 208.98 Bi.upf
As 74.92 As.upf
Se 78.96 Se.upf
ATOMIC_POSITIONS angstrom
Y -0.3994 0.0000 2.1837
Y 4.2535 0.0000 7.3327
Y 5.1935 0.0000 3.4469
Y 11.1094 0.0000 4.7056
Y 12.0494 0.0000 0.8198
Y 16.7024 0.0000 5.9689
Bi 9.0843 0.0000 0.0000
As 2.4202 0.0000 2.7356
As 13.8827 0.0000 5.4169
Se 1.4164 0.0000 6.7944
Se 8.1515 0.0000 4.0763
Se 14.8865 0.0000 1.3582
CELL_PARAMETERS angstrom
9.0843 -2.0823 0.0000
9.0843 2.0823 0.0000
-1.8656 0.0000 8.1525
! ΔE_f (raw) = -1.57 eV/atom
! space-group type = C2/m
! crystal system = monoclinic
! DOS at the Fermi energy = 4.66 states/eV/cell
! total DFT energy (no corrections) = -6.77 eV per atom
! size of the total moment = 0.00 μB/f.u.
! V = 308.4 Å³ per cell

***

7.
! SmHfNi10, optimized geometry, DFT PBE; values from VASP
&SYSTEM
  ibrav = 0, nat = 12, ntyp = 3
/
ATOMIC_SPECIES
Sm 150.36 Sm.upf
Hf 178.49 Hf.upf
Ni 58.69 Ni.upf
ATOMIC_POSITIONS angstrom
Sm 0.0000 0.0000 0.0000
Hf 0.0000 2.4093 4.1813
Ni 0.0000 0.0000 2.8612
Ni 0.0000 0.0000 5.5015
Ni 0.0000 2.4093 1.5003
Ni 0.0000 2.4093 6.8624
Ni 1.9826 0.0000 4.1813
Ni 1.9826 1.2290 2.1649
Ni 1.9826 1.2290 6.1978
Ni 1.9826 2.4093 0.0000
Ni 1.9826 3.5896 2.1649
Ni 1.9826 3.5896 6.1978
CELL_PARAMETERS angstrom
3.9651 0.0000 0.0000
0.0000 4.8186 0.0000
0.0000 0.0000 8.3627
! space-group type = Pmmm
! crystal system = orthorhombic
! DOS at the Fermi energy = 13.38 states/eV/cell
! total DFT energy (no corrections) = -6.33 eV per atom
! size of the total moment = 2.55 μB/f.u.
! V = 159.8 Å³ per cell

***

8.
! CeSmI4, optimized geometry, DFT PBE; values from VASP
&SYSTEM
  ibrav = 0, nat = 6, ntyp = 3
/
ATOMIC_SPECIES
Ce 140.12 Ce.upf
Sm 150.36 Sm.upf
I 126.90 I.upf
ATOMIC_POSITIONS angstrom
Ce 0.0000 0.0000 0.0000
Sm 3.6810 2.1110 0.0000
I 1.2166 2.1110 6.0381
I 2.4830 0.0000 2.0185
I 4.8214 0.0000 6.0707
I 6.0879 2.1110 2.0512
CELL_PARAMETERS angstrom
7.3619 0.0000 0.0000
0.0000 4.2220 0.0000
-0.0575 0.0000 8.0893
! ΔE_f (raw) = -1.25 eV/atom
! space-group type = P2/m
! crystal system = monoclinic
! DOS at the Fermi energy = 8.94 states/eV/cell
! total DFT energy (no corrections) = -4.06 eV per atom
! size of the total moment = 1.82 μB/f.u.
! polymorph energy (0 for the lowest one) = 0.0 meV/atom
! V = 251.4 Å³ per cell

***

9.
! SnB, optimized geometry, DFT PBE; values from VASP
&SYSTEM
  ibrav = 0, nat = 8, ntyp = 2
/
ATOMIC_SPECIES
Sn 118.71 Sn.upf
B 10.81 B.upf
ATOMIC_POSITIONS angstrom
Sn 3.0076 0.5166 3.6925
Sn 5.0127 2.8858 6.1542
Sn 3.0076 6.5907 3.6925
Sn 5.0127 8.9598 6.1542
B 3.0076 3.5537 0.4608
B 5.0127 5.9228 2.9225
B 3.0076 3.5537 6.9243
B 5.0127 5.9228 9.3859
CELL_PARAMETERS angstrom
0.0000 4.7382 4.9234
4.0101 0.0000 4.9234
4.0101 4.7382 0.0000
! space-group type = Fddd
! crystal system = orthorhombic
! DOS at the Fermi energy = 3.95 states/eV/cell
! total DFT energy (no corrections) = -4.35 eV per atom
! size of the total moment = 0.00 μB/f.u.
! polymorph energy (0 for the lowest one) = 603.5 meV/atom
! V = 187.1 Å³ per cell

***

10.
! Sm2Er6Hg, optimized geometry, DFT PBE; values from VASP
&SYSTEM
  ibrav = 0, nat = 18, ntyp = 3
/
ATOMIC_SPECIES
Sm 150.36 Sm.upf
Er 167.26 Er.upf
Hg 200.59 Hg.upf
ATOMIC_POSITIONS angstrom
Sm 1.8626 2.5067 0.0000
Sm 2.9940 7.6104 2.7174
Sm 6.7191 2.5970 2.7174
Sm 7.8506 7.7007 0.0000
Er 0.1880 3.2656 2.7174
Er 1.3355 9.1385 0.0000
Er 1.7539 5.8330 0.0000
Er 3.1027 0.7293 2.7174
Er 3.5211 4.0348 2.7174
Er 4.6686 8.3693 0.0000
Er 5.0446 1.8381 0.0000
Er 6.1921 6.1726 2.7174
Er 6.6105 9.4781 2.7174
Er 7.9592 4.3744 0.0000
Er 8.3776 1.0689 0.0000
Er 9.5251 6.9418 2.7174
Hg 0.0000 0.0000 2.7174
Hg 4.8566 5.1037 0.0000
CELL_PARAMETERS angstrom
9.7131 0.0000 0.0000
0.0000 10.2074 0.0000
0.0000 0.0000 5.4348
! space-group type = Pnnm
! crystal system = orthorhombic
! DOS at the Fermi energy = 28.02 states/eV/cell
! total DFT energy (no corrections) = -4.14 eV per atom
! size of the total moment = 0.00 μB/f.u.
! V = 538.8 Å³ per cell

***

11.
! NdEuDySc, optimized geometry, DFT PBE; values from VASP
&SYSTEM
  ibrav = 0, nat = 4, ntyp = 4
/
ATOMIC_SPECIES
Nd 144.24 Nd.upf
Eu 151.96 Eu.upf
Dy 162.50 Dy.upf
Sc 44.96 Sc.upf
ATOMIC_POSITIONS angstrom
Nd 0.0000 0.0000 0.0000
Eu 4.0076 4.0076 4.0076
Dy 6.0115 6.0115 6.0115
Sc 2.0038 2.0038 2.0038
CELL_PARAMETERS angstrom
0.0000 4.0076 4.0076
4.0076 0.0000 4.0076
4.0076 4.0076 0.0000
! space-group type = F-43m
! crystal system = cubic
! DOS at the Fermi energy = 6.72 states/eV/cell
! total DFT energy (no corrections) = -6.33 eV per atom
! size of the total moment = 6.94 μB/f.u.
! V = 128.7 Å³ per cell

***

12.
! NpAgPb2S5, optimized geometry, DFT PBE; values from VASP
&SYSTEM
  ibrav = 0, nat = 18, ntyp = 4
/
ATOMIC_SPECIES
Np 237.00 Np.upf
Ag 107.87 Ag.upf
Pb 207.20 Pb.upf
S 32.06 S.upf
ATOMIC_POSITIONS angstrom
Np 2.0147 4.8616 6.5468
Np 2.0147 -4.8616 0.0000
Ag 2.0147 1.2485 11.9845
Ag 2.0147 -1.2485 5.4376
Pb 2.0147 7.0429 1.5706
Pb 2.0147 6.7987 9.9904
Pb 2.0147 -6.7987 3.4436
Pb 2.0147 -7.0429 8.1175
S 2.0147 7.3983 7.0215
S 2.0147 4.0857 1.7427
S 2.0147 3.7378 11.4017
S 2.0147 2.2799 6.1875
S 2.0147 0.0395 9.8092
S 2.0147 -0.0395 3.2624
S 2.0147 -2.2799 12.7343
S 2.0147 -3.7378 4.8549
S 2.0147 -4.0857 8.2896
S 2.0147 -7.3983 0.4746
CELL_PARAMETERS angstrom
2.0147 -8.6783 0.0000
2.0147 8.6783 0.0000
0.0000 0.0000 13.0936
! ΔE_f (raw) = -0.67 eV/atom
! space-group type = Cmc2_1
! crystal system = orthorhombic
! DOS at the Fermi energy = 9.63 states/eV/cell
! total DFT energy (no corrections) = -5.54 eV per atom
! size of the total moment = 2.00 μB/f.u.
! V = 457.9 Å³ per cell

***

> total DFT energy (no corrections) of number 10 (Sm2Er6Hg)?

-4.14 eV per atom